[1]
Pt2RhCBr GGA-PBEsol relaxed; total magnetic moment = 0.00 μB/cell; calculated volume = 96.6 Å³/cell; formation energy without anion corrections = 2.57 eV per atom; E_tot = -4.149 eV/atom; symmetry = No. 123
1.0
4.633 0.000 0.000
0.000 4.633 0.000
0.000 0.000 4.502
Pt Rh C Br
2 1 1 1
Cartesian
0.000 2.316 0.000 Pt
2.316 0.000 0.000 Pt
0.000 0.000 2.251 Rh
2.316 2.316 2.251 C
0.000 0.000 0.000 Br


[2]
ReCBr3 GGA-PBEsol relaxed; total magnetic moment = 5.45 μB/cell; calculated volume = 102.3 Å³/cell; formation energy without anion corrections = 1.98 eV per atom; E_tot = -3.740 eV/atom; symmetry = No. 221
1.0
4.677 0.000 0.000
0.000 4.677 0.000
0.000 0.000 4.677
Re C Br
1 1 3
Cartesian
0.000 0.000 0.000 Re
2.338 2.338 2.338 C
0.000 2.338 2.338 Br
2.338 0.000 2.338 Br
2.338 2.338 0.000 Br


[3]
ReC2Br GGA-PBEsol relaxed; total magnetic moment = 0.00 μB/cell; calculated volume = 42.7 Å³/cell; formation energy without anion corrections = 2.66 eV per atom; E_tot = -5.961 eV/atom; symmetry = No. 225
1.0
0.000 2.774 2.774
2.774 0.000 2.774
2.774 2.774 0.000
Re C Br
1 2 1
Cartesian
0.000 0.000 0.000 Re
1.387 1.387 1.387 C
4.161 4.161 4.161 C
2.774 2.774 2.774 Br


[4]
RhCSe2Br GGA-PBEsol relaxed; total magnetic moment = 0.00 μB/cell; calculated volume = 80.3 Å³/cell; formation energy without anion corrections = 1.33 eV per atom; E_tot = -4.145 eV/atom; symmetry = No. 123
1.0
4.335 0.000 0.000
0.000 4.335 0.000
0.000 0.000 4.272
Rh C Se Br
1 1 2 1
Cartesian
0.000 0.000 0.000 Rh
2.168 2.168 2.136 C
0.000 2.168 2.136 Se
2.168 0.000 2.136 Se
2.168 2.168 0.000 Br


[5]
CSeSBr2 GGA-PBEsol relaxed; total magnetic moment = 1.01 μB/cell; calculated volume = 118.3 Å³/cell; formation energy without anion corrections = 1.76 eV per atom; E_tot = -2.568 eV/atom; symmetry = No. 123
1.0
4.914 0.000 0.000
0.000 4.914 0.000
0.000 0.000 4.899
C Se S Br
1 1 1 2
Cartesian
0.000 0.000 0.000 C
2.457 2.457 0.000 Se
2.457 2.457 2.450 S
0.000 2.457 2.450 Br
2.457 0.000 2.450 Br


[6]
TlCSBr2 GGA-PBEsol relaxed; total magnetic moment = 0.09 μB/cell; calculated volume = 103.1 Å³/cell; formation energy without anion corrections = 1.03 eV per atom; E_tot = -3.049 eV/atom; symmetry = No. 123
1.0
4.305 0.000 0.000
0.000 4.305 0.000
0.000 0.000 5.562
Tl C S Br
1 1 1 2
Cartesian
0.000 0.000 0.000 Tl
0.000 0.000 2.781 C
2.152 2.152 0.000 S
0.000 2.152 2.781 Br
2.152 0.000 2.781 Br


[7]
Sb2CBr GGA-PBEsol relaxed; relative energy among the computed polymorphs = 0.0 meV per atom; total magnetic moment = 0.00 μB/cell; calculated volume = 176.2 Å³/cell; formation energy without anion corrections = 0.75 eV per atom; E_tot = -4.405 eV/atom; symmetry = No. 122
1.0
-3.576 3.576 3.445
3.576 -3.576 3.445
3.576 3.576 -3.445
Sb C Br
4 2 2
Cartesian
1.788 1.111 -0.861 Sb
2.464 -1.788 4.307 Sb
1.788 2.464 2.584 Sb
1.111 5.363 0.861 Sb
0.000 0.000 0.000 C
0.000 3.576 1.723 C
3.576 0.000 1.723 Br
0.000 0.000 3.445 Br


[8]
Sb2CBr GGA-PBEsol relaxed; relative energy among the computed polymorphs = 647.8 meV per atom; total magnetic moment = 0.00 μB/cell; calculated volume = 79.5 Å³/cell; formation energy without anion corrections = 1.40 eV per atom; E_tot = -3.757 eV/atom; symmetry = No. 225
1.0
0.000 3.413 3.413
3.413 0.000 3.413
3.413 3.413 0.000
Sb C Br
2 1 1
Cartesian
1.707 1.707 1.707 Sb
5.120 5.120 5.120 Sb
0.000 0.000 0.000 C
3.413 3.413 3.413 Br